1.
TlIr | PBE | optimized geometry

## Properties
D(E_F) = 10.2 states/eV per cell
space-group type = I4/m, No. 87
crystal system = tetragonal
DFT formation energy = 0.4939 eV/atom

a b c (Å): 11.7023 11.7023 2.9713
angles (deg): 90.00 90.00 90.00
With the nearest neighbours (Å) after each atom.
Atoms (fractional coordinates):
Ir1 0.8408 0.7636 0.0000  2 Ir 2.61, 5 Tl 2.78-2.89
Tl1 0.7675 0.9587 0.5000  5 Ir 2.78-2.89, 2 Tl 2.97
Ir2 0.2364 0.8408 0.0000  2 Ir 2.61, 5 Tl 2.78-2.89
Tl2 0.2325 0.0413 0.5000  5 Ir 2.78-2.89, 2 Tl 2.97
Ir3 0.6592 0.7364 0.5000  2 Ir 2.61, 5 Tl 2.78-2.89
Tl3 0.9587 0.2325 0.5000  5 Ir 2.78-2.89, 2 Tl 2.97
Tl4 0.7325 0.5413 0.0000  5 Ir 2.78-2.89, 2 Tl 2.97
Tl5 0.2675 0.4587 0.0000  5 Ir 2.78-2.89, 2 Tl 2.97
Ir4 0.7364 0.3408 0.5000  2 Ir 2.61, 5 Tl 2.78-2.89
Ir5 0.7636 0.1592 0.0000  2 Ir 2.61, 5 Tl 2.78-2.89
Tl6 0.4587 0.7325 0.0000  5 Ir 2.78-2.89, 2 Tl 2.97
Tl7 0.0413 0.7675 0.5000  5 Ir 2.78-2.89, 2 Tl 2.97
Tl8 0.5413 0.2675 0.0000  5 Ir 2.78-2.89, 2 Tl 2.97
Ir6 0.1592 0.2364 0.0000  2 Ir 2.61, 5 Tl 2.78-2.89
Ir7 0.2636 0.6592 0.5000  2 Ir 2.61, 5 Tl 2.78-2.89
Ir8 0.3408 0.2636 0.5000  2 Ir 2.61, 5 Tl 2.78-2.89


2.
Dy5Tm2In | PBE | optimized geometry

## Properties
D(E_F) = 10.3 states/eV per cell
space-group type = I4/mmm, No. 139
crystal system = tetragonal
DFT formation energy = -0.1141 eV/atom

a b c (Å): 4.8872 4.8872 10.5388
angles (deg): 103.41 103.41 90.00
With the nearest neighbours (Å) after each atom.
Atoms (fractional coordinates):
Dy1 0.6233 0.1233 0.2466  6 Dy 3.46, 2 In 3.46, 4 Tm 3.47-3.56
In1 0.0000 0.0000 0.0000  12 Dy 3.46
Dy2 0.8767 0.3767 0.7534  6 Dy 3.46, 2 In 3.46, 4 Tm 3.47-3.56
Dy3 0.3767 0.8767 0.7534  6 Dy 3.46, 2 In 3.46, 4 Tm 3.47-3.56
Tm1 0.7470 0.7470 0.4939  4 Tm 3.46, 8 Dy 3.47-3.56
Dy4 0.5000 0.5000 0.0000  4 In 3.46, 8 Dy 3.46
Tm2 0.2530 0.2530 0.5061  4 Tm 3.46, 8 Dy 3.47-3.56
Dy5 0.1233 0.6233 0.2466  6 Dy 3.46, 2 In 3.46, 4 Tm 3.47-3.56


3.
RbNaMgCd2 | PBE | optimized geometry

## Properties
D(E_F) = 2.7 states/eV per cell
space-group type = P4/mmm, No. 123
crystal system = tetragonal
DFT formation energy = 0.1148 eV/atom

a b c (Å): 5.5902 5.5902 6.0227
angles (deg): 90.00 90.00 90.00
With the nearest neighbours (Å) after each atom.
Atoms (fractional coordinates):
Na1 0.0000 0.0000 0.5000  2 Mg 3.01
Rb1 0.5000 0.5000 0.5000  4 Na 3.95, 8 Cd 4.11
Cd1 0.5000 0.0000 0.0000  2 Mg 2.80
Cd2 0.0000 0.5000 0.0000  2 Mg 2.80
Mg1 0.0000 0.0000 0.0000  4 Cd 2.80, 2 Na 3.01